Entry from the Alexandria database: a relaxed TlNiRh2 crystal (PBE-GGA).

Structure (CIF):
```
data_TlNiRh2
_chemical_formula_sum 'Tl2 Ni2 Rh4'
_cell_length_a 8.937
_cell_length_b 2.917
_cell_length_c 4.873
_cell_angle_alpha 90.00
_cell_angle_beta 101.59
_cell_angle_gamma 90.00
_space_group_name_H-M_alt 'C 1 2/m 1'
_space_group_IT_number 12
_space_group_name_Hall '-C 2y'
loop_
_atom_site_label
_atom_site_type_symbol
_atom_site_fract_x
_atom_site_fract_y
_atom_site_fract_z
Tl1 Tl 0.000 0.000 0.000
Ni1 Ni 0.000 0.500 0.500
Rh1 Rh 0.243 0.000 0.723
```

Properties
- calculated formation energy (eV/f.u.) = 0.77
- total magnetization (μB per formula unit) = 0.84

=====

Entry from the Alexandria database: a relaxed NaSe3 crystal (PBE-GGA).

Structure (CIF):
```
data_NaSe3
_chemical_formula_sum 'Na2 Se6'
_cell_length_a 4.076
_cell_length_b 4.076
_cell_length_c 11.428
_cell_angle_alpha 90.00
_cell_angle_beta 90.00
_cell_angle_gamma 90.00
_space_group_name_H-M_alt 'I 4/m m m'
_space_group_IT_number 139
_space_group_name_Hall '-I 4 2'
loop_
_atom_site_label
_atom_site_type_symbol
_atom_site_fract_x
_atom_site_fract_y
_atom_site_fract_z
Na1 Na 0.000 0.000 0.000
Se1 Se 0.000 0.000 0.268
Se2 Se 0.000 0.000 0.500
```

Properties
- formation energy without anion corrections (eV/atom) = -0.34
- energy above the lowest structure with this stoichiometry (meV per atom) = 35.2
- total magnetization (μB per formula unit) = 0.00

=====

Entry from the Alexandria database: a relaxed Al2PtBr crystal (PBE-GGA).

Structure (CIF):
```
data_Al2PtBr
_chemical_formula_sum 'Al8 Pt4 Br4'
_cell_length_a 6.687
_cell_length_b 6.687
_cell_length_c 6.687
_cell_angle_alpha 90.00
_cell_angle_beta 90.00
_cell_angle_gamma 90.00
_space_group_name_H-M_alt 'F m -3 m'
_space_group_IT_number 225
_space_group_name_Hall '-F 4 2 3'
loop_
_atom_site_label
_atom_site_type_symbol
_atom_site_fract_x
_atom_site_fract_y
_atom_site_fract_z
Al1 Al 0.250 0.250 0.250
Pt1 Pt 0.000 0.000 0.000
Br1 Br 0.000 0.000 0.500
```

Properties
- formation energy without anion corrections (eV/atom) = 0.14
- energy above the lowest structure with this stoichiometry (meV per atom) = 763.3
- total magnetization (μB per formula unit) = 0.00

=====

Entry from the Alexandria database: a relaxed BaCaSe2 crystal (PBE-GGA).

Structure (CIF):
```
data_BaCaSe2
_chemical_formula_sum 'Ba3 Ca3 Se6'
_cell_length_a 4.4693
_cell_length_b 4.4693
_cell_length_c 21.9666
_cell_angle_alpha 90.00
_cell_angle_beta 90.00
_cell_angle_gamma 120.00
_space_group_name_H-M_alt 'R -3 m'
_space_group_IT_number 166
_space_group_name_Hall '-R 3 2"'
loop_
_atom_site_label
_atom_site_type_symbol
_atom_site_fract_x
_atom_site_fract_y
_atom_site_fract_z
Ba1 Ba 0.0000 0.0000 0.0000
Ca1 Ca 0.0000 0.0000 0.5000
Se1 Se 0.0000 0.0000 0.2410
```

Properties
- formation energy without anion corrections (eV/atom) = -2.00
- energy above the lowest structure with this stoichiometry (meV per atom) = 0.0
- total magnetization (μB per formula unit) = 0.00

=====

Entry from the Alexandria database: a relaxed TlAs2Pt2 crystal (PBE-GGA).

Structure (CIF):
```
data_TlAs2Pt2
_chemical_formula_sum 'Tl2 As4 Pt4'
_cell_length_a 8.031
_cell_length_b 8.031
_cell_length_c 3.014
_cell_angle_alpha 90.00
_cell_angle_beta 90.00
_cell_angle_gamma 90.00
_space_group_name_H-M_alt 'P 4/m b m'
_space_group_IT_number 127
_space_group_name_Hall '-P 4 2ab'
loop_
_atom_site_label
_atom_site_type_symbol
_atom_site_fract_x
_atom_site_fract_y
_atom_site_fract_z
Tl1 Tl 0.000 0.000 0.000
As1 As 0.141 0.359 0.500
Pt1 Pt 0.136 0.636 0.000
```

Properties
- energy above the lowest structure with this stoichiometry (meV per atom) = 185.3
- calculated formation energy (eV/f.u.) = -0.07
- total magnetization (μB per formula unit) = 0.00

=====

Entry from the Alexandria database: a relaxed LiCd6In5 crystal (PBE-GGA).

Structure (CIF):
```
data_LiCd6In5
_chemical_formula_sum 'Li2 Cd12 In10'
_cell_length_a 10.497
_cell_length_b 9.717
_cell_length_c 5.655
_cell_angle_alpha 90.00
_cell_angle_beta 98.42
_cell_angle_gamma 90.00
_space_group_name_H-M_alt 'C 1 2/m 1'
_space_group_IT_number 12
_space_group_name_Hall '-C 2y'
loop_
_atom_site_label
_atom_site_type_symbol
_atom_site_fract_x
_atom_site_fract_y
_atom_site_fract_z
Li1 Li 0.000 0.000 0.000
Cd1 Cd 0.244 0.161 0.248
Cd2 Cd 0.246 0.000 0.765
In1 In 0.000 0.163 0.500
In2 In 0.000 0.329 0.000
In3 In 0.000 0.500 0.500
```

Properties
- calculated formation energy (eV/f.u.) = -0.32
- total magnetization (μB per formula unit) = 0.00

=====

Entry from the Alexandria database: a relaxed SrLiLuTl crystal (PBE-GGA).

Structure (CIF):
```
data_SrLiLuTl
_chemical_formula_sum 'Sr4 Li4 Lu4 Tl4'
_cell_length_a 7.738
_cell_length_b 7.738
_cell_length_c 7.738
_cell_angle_alpha 90.00
_cell_angle_beta 90.00
_cell_angle_gamma 90.00
_space_group_name_H-M_alt 'F -4 3 m'
_space_group_IT_number 216
_space_group_name_Hall 'F -4 2 3'
loop_
_atom_site_label
_atom_site_type_symbol
_atom_site_fract_x
_atom_site_fract_y
_atom_site_fract_z
Sr1 Sr 0.000 0.000 0.000
Li1 Li 0.250 0.250 0.750
Lu1 Lu 0.000 0.000 0.500
Tl1 Tl 0.250 0.250 0.250
```

Properties
- calculated formation energy (eV/f.u.) = -0.48
- total magnetization (μB per formula unit) = 0.00

=====

Entry from the Alexandria database: a relaxed Mn3Fe2H8 crystal (PBE-GGA).

Structure (CIF):
```
data_Mn3Fe2H8
_chemical_formula_sum 'Mn3 Fe2 H8'
_cell_length_a 4.639
_cell_length_b 2.774
_cell_length_c 7.018
_cell_angle_alpha 90.00
_cell_angle_beta 102.28
_cell_angle_gamma 90.00
_space_group_name_H-M_alt 'P 1 2/m 1'
_space_group_IT_number 10
_space_group_name_Hall '-P 2y'
loop_
_atom_site_label
_atom_site_type_symbol
_atom_site_fract_x
_atom_site_fract_y
_atom_site_fract_z
Mn1 Mn 0.000 0.000 0.000
Mn2 Mn 0.272 0.500 0.314
Fe1 Fe 0.225 0.000 0.682
H1 H 0.109 0.500 0.831
H2 H 0.141 0.000 0.422
H3 H 0.351 0.500 0.586
H4 H 0.388 0.000 0.181
```

Properties
- total magnetization (μB per formula unit) = 11.89
- energy (eV per atom) = -5.4004

=====

For reference, D(E_F) by record: 10.66, 3.21, 20.48, 0.00, 5.55, 7.70, 13.44, 6.90 states/eV/cell.